1.
Entry from the Alexandria database: a relaxed HfHgAs2 crystal (PBE-GGA).

a = 6.1378 Å, b = 6.1378 Å, c = 7.5105 Å
α = 65.88°, β = 65.88°, γ = 90.00°
Closest atoms and distances in Å follow each position.
Element x y z (fractional)
Hg (0.7500, 0.2500, 0.5000)  4 As 2.72
Hg (0.0000, 0.0000, 0.0000)  4 As 2.72
As (0.1416, 0.6250, 0.2500)  2 Hf 2.60, 2 Hg 2.72
As (0.8750, 0.8584, 0.7500)  2 Hf 2.60, 2 Hg 2.72
As (0.6084, 0.1250, 0.2500)  2 Hf 2.60, 2 Hg 2.72
As (0.3750, 0.3916, 0.7500)  2 Hf 2.60, 2 Hg 2.72
Hf (0.2500, 0.7500, 0.5000)  4 As 2.60
Hf (0.5000, 0.5000, 0.0000)  4 As 2.60

Values from the calculation:
- formation enthalpy at 0 K (meV per atom) = -165
- VASP energy (Ha/atom) = -0.1857



2.
Entry from the Alexandria database: a relaxed Hf2HgAs crystal (PBE-GGA).

a = 3.6544 Å, b = 3.6544 Å, c = 7.7302 Å
α = 76.33°, β = 76.33°, γ = 60.00°
Closest atoms and distances in Å follow each position.
Element x y z (fractional)
As (0.0000, 0.0000, 0.0000)  6 Hf 2.64
Hf (0.7379, 0.7379, 0.7864)  3 As 2.64
Hf (0.2621, 0.2621, 0.2136)  3 As 2.64
Hg (0.5000, 0.5000, 0.5000)  6 Hf 3.00

Values from the calculation:
- formation enthalpy at 0 K (meV per atom) = -453
- VASP energy (Ha/atom) = -0.2450



3.
Entry from the Alexandria database: a relaxed LiHf2HgAs crystal (PBE-GGA).

a = 5.0063 Å, b = 5.0063 Å, c = 5.1962 Å
α = 90.00°, β = 90.00°, γ = 90.00°
Closest atoms and distances in Å follow each position.
Element x y z (fractional)
Hf (0.5000, 0.0000, 0.0000)  2 As 2.50
Hf (0.0000, 0.5000, 0.0000)  2 As 2.50
Hg (0.0000, 0.0000, 0.5000)  2 As 2.60
Li (0.5000, 0.5000, 0.5000)  4 Hg 3.54, 8 Hf 3.61
As (0.0000, 0.0000, 0.0000)  4 Hf 2.50, 2 Hg 2.60

Values from the calculation:
- formation enthalpy at 0 K (meV per atom) = 466
- VASP energy (Ha/atom) = -0.1797



4.
Entry from the Alexandria database: a relaxed NaHf2HgAs crystal (PBE-GGA).

a = 5.0373 Å, b = 5.3406 Å, c = 5.0373 Å
α = 90.00°, β = 90.00°, γ = 90.00°
Closest atoms and distances in Å follow each position.
Element x y z (fractional)
Hg (0.0000, 0.5000, 0.0000)  2 As 2.67
Hf (0.0000, 0.0000, 0.5000)  2 As 2.52
Hf (0.5000, 0.0000, 0.0000)  2 As 2.52
As (0.0000, 0.0000, 0.0000)  4 Hf 2.52, 2 Hg 2.67
Na (0.5000, 0.5000, 0.5000)  4 Hg 3.56, 8 Hf 3.67

Values from the calculation:
- formation enthalpy at 0 K (meV per atom) = 477
- VASP energy (Ha/atom) = -0.1749



5.
Entry from the Alexandria database: a relaxed HfHgAsO6 crystal (PBE-GGA).

a = 5.3203 Å, b = 5.3202 Å, c = 4.7696 Å
α = 89.97°, β = 90.03°, γ = 59.98°
Closest atoms and distances in Å follow each position.
Element x y z (fractional)
O (0.6136, 0.3568, 0.7159)  1 As 1.87, 1 Hf 2.08
O (0.3572, 0.0294, 0.7160)  1 As 1.87, 1 Hf 2.08
O (0.3568, 0.6137, 0.2841)  1 As 1.87, 1 Hf 2.08
O (0.6132, 0.0297, 0.2841)  1 As 1.87, 1 Hf 2.08
O (0.0294, 0.3572, 0.2840)  1 As 1.87, 1 Hf 2.08
O (0.0297, 0.6133, 0.7159)  1 As 1.87, 1 Hf 2.08
Hf (0.6666, 0.6667, 0.5000)  6 O 2.08
As (0.3333, 0.3333, 0.5000)  6 O 1.87
Hg (0.9999, 0.9999, 0.0000)  6 O 2.40

Values from the calculation:
- formation energy without anion corrections (meV/atom) = -1512
- VASP energy (Ha/atom) = -0.2379



6.
Entry from the Alexandria database: a relaxed HfHgAs2O8 crystal (PBE-GGA).

a = 5.5545 Å, b = 5.5545 Å, c = 6.6092 Å
α = 90.00°, β = 90.00°, γ = 120.00°
Closest atoms and distances in Å follow each position.
Element x y z (fractional)
O (0.1663, 0.3326, 0.8034)  1 As 1.73
O (0.6667, 0.3333, 0.5464)  1 As 1.66
O (0.3333, 0.6667, 0.4536)  1 As 1.66
O (0.6674, 0.8337, 0.8034)  1 As 1.73
O (0.3326, 0.1663, 0.1966)  1 As 1.73
O (0.1663, 0.8337, 0.8034)  1 As 1.73
O (0.8337, 0.6674, 0.1966)  1 As 1.73
O (0.8337, 0.1663, 0.1966)  1 As 1.73
As (0.6667, 0.3333, 0.2946)  4 O 1.66-1.73
As (0.3333, 0.6667, 0.7054)  4 O 1.66-1.73
Hf (0.0000, 0.0000, 0.0000)  6 O 2.06
Hg (0.0000, 0.0000, 0.5000)  6 O 2.57

Values from the calculation:
- formation energy without anion corrections (meV/atom) = -1548
- VASP energy (Ha/atom) = -0.2382